LiZnCuPt | PBE | relaxed

Values from the calculation:
energy relative to the lowest polymorph listed for this composition: 0.0 kJ/mol of atoms
DOS(E_F): 1.49 states/eV per cell
magnetization: 0.000 μB per atom

Structure (extended XYZ):
```
4
Lattice="3.8416 0.0000 0.0000 0.0000 3.8416 -0.0003 -1.9208 -1.9211 3.6779" Properties=species:S:1:pos:R:3 pbc="T T T"
Li 1.9208 1.9207 -0.0001
Zn 1.9208 -0.0001 1.8389
Cu 0.0000 1.9206 1.8387
Pt 0.0000 0.0000 0.0000
```